LaMg2Au, relaxed, DFT PBE-GGA; formation enthalpy at 0 K = -0.3485 eV/atom; space group = C2/m (12); DOS(E_F) = 2.9 states/eV per cell; V = 101 Å³ per cell
1.0
-0.166 1.855 -6.132
-2.923 -0.007 -5.703
-3.098 4.352 -1.016
La Mg Au
1 2 1
Direct
0.750 0.750 0.750
0.541 0.541 0.460
0.959 0.959 0.040
0.250 0.250 0.250

BaThSc2, relaxed, DFT PBE-GGA; formation enthalpy at 0 K = 0.1871 eV/atom; space group = P4/mmm (123); DOS(E_F) = 4.8 states/eV per cell; V = 132 Å³ per cell
1.0
3.594 0.000 0.000
0.000 3.594 0.000
0.000 0.000 10.209
Sc Ba Th
2 1 1
Direct
0.000 0.000 0.209
0.000 0.000 0.791
0.500 0.500 0.500
0.500 0.500 0.000

Cs3NaN, relaxed, DFT PBE-GGA; space group = Pm-3m (221); DOS(E_F) = 7.2 states/eV per cell; E_form (uncorrected) = 0.48 eV/atom; V = 248 Å³ per cell
1.0
6.284 0.000 0.000
0.000 6.284 0.000
0.000 0.000 6.284
Cs N Na
3 1 1
Direct
0.500 0.000 0.000
0.000 0.000 0.500
0.000 0.500 0.000
0.000 0.000 0.000
0.500 0.500 0.500

Ac5Pr12Dy3, relaxed, DFT PBE-GGA; formation enthalpy at 0 K = 0.9053 eV/atom; space group = Ia-3d (230); DOS(E_F) = 158.2 states/eV per cell; V = 3740 Å³ per cell
1.0
-2.671 4.082 16.219
4.468 -16.302 -1.057
12.401 9.672 -6.287
Pr Ac Dy
48 20 12
Direct
0.348 0.585 0.441
0.915 0.559 0.152
0.848 0.941 0.085
0.085 0.644 0.737
0.763 0.415 0.356
0.856 0.263 0.415
0.644 0.085 0.237
0.644 0.559 0.907
0.907 0.059 0.644
0.941 0.848 0.585
0.441 0.356 0.593
0.848 0.907 0.263
0.152 0.093 0.737
0.737 0.144 0.085
0.652 0.237 0.593
0.763 0.348 0.907
0.652 0.415 0.559
0.356 0.915 0.763
0.559 0.644 0.407
0.856 0.593 0.941
0.415 0.763 0.856
0.263 0.856 0.915
0.085 0.441 0.848
0.144 0.407 0.059
0.263 0.407 0.848
0.907 0.848 0.763
0.407 0.263 0.348
0.093 0.152 0.237
0.593 0.856 0.441
0.441 0.085 0.348
0.059 0.907 0.144
0.152 0.059 0.915
0.915 0.356 0.263
0.237 0.585 0.644
0.737 0.593 0.152
0.237 0.652 0.093
0.348 0.763 0.407
0.559 0.915 0.652
0.356 0.441 0.093
0.407 0.144 0.559
0.144 0.737 0.585
0.093 0.941 0.356
0.059 0.152 0.415
0.585 0.348 0.941
0.941 0.093 0.856
0.585 0.237 0.144
0.415 0.652 0.059
0.593 0.737 0.652
0.875 0.250 0.625
0.500 0.500 0.500
0.125 0.750 0.375
0.625 0.750 0.875
0.625 0.875 0.250
0.000 0.000 0.500
0.750 0.625 0.375
0.875 0.625 0.750
0.000 0.500 0.000
0.250 0.875 0.125
0.125 0.375 0.250
0.375 0.250 0.125
0.500 0.500 0.000
0.500 0.000 0.500
0.000 0.000 0.000
0.000 0.500 0.500
0.500 0.000 0.000
0.375 0.125 0.750
0.750 0.125 0.875
0.250 0.375 0.625
0.375 0.750 0.625
0.250 0.125 0.375
0.750 0.375 0.125
0.250 0.625 0.875
0.875 0.750 0.125
0.125 0.250 0.875
0.125 0.875 0.750
0.875 0.125 0.250
0.375 0.625 0.250
0.625 0.375 0.750
0.750 0.875 0.625
0.625 0.250 0.375

> Number 2 is which compound?

BaThSc2

> DOS(E_F) of number 4 (Ac5Pr12Dy3)?

158.2 states/eV per cell

> What is the formula in the fourth record?

Ac5Pr12Dy3

What did the first record say?
LaMg2Au, relaxed, DFT PBE-GGA; formation enthalpy at 0 K = -0.3485 eV/atom; space group = C2/m (12); DOS(E_F) = 2.9 states/eV per cell; V = 101 Å³ per cell
1.0
-0.166 1.855 -6.132
-2.923 -0.007 -5.703
-3.098 4.352 -1.016
La Mg Au
1 2 1
Direct
0.750 0.750 0.750
0.541 0.541 0.460
0.959 0.959 0.040
0.250 0.250 0.250